This record from Alexandria describes a geometry-optimized CeInGe structure. The functional is GGA-PBE.

Properties
calculated volume = 78.1 Å³ per cell
E_tot = -4.8629 eV per atom

Cell lengths 4.4506, 4.4506, 4.5524 Å; angles 90.00, 90.00, 120.00 degrees
Space group P3m1 (No. 156)
Asymmetric unit:
Ce  0.0000  0.0000  0.0000 [1 per cell]
In  0.3333  0.6667  0.5692 [1 per cell]
Ge  0.6667  0.3333  0.3616 [1 per cell]

=====

This record from Alexandria describes a geometry-optimized CeIn2Ge structure. The functional is GGA-PBE.

Properties
calculated volume = 96.1 Å³ per cell
E_tot = -4.4483 eV per atom
distance to the lowest polymorph of the same formula = 0 meV/atom

Cell lengths 4.4236, 4.4236, 4.9103 Å; angles 90.00, 90.00, 90.00 degrees
Space group P4/mmm (No. 123)
Asymmetric unit:
Ce  0.0000  0.0000  0.0000 [1 per cell]
In  0.0000  0.5000  0.5000 [2 per cell]
Ge  0.5000  0.5000  0.0000 [1 per cell]

=====

In order of appearance, energy of formation = -0.433, -0.441 eV per atom.